Record 1
First-principles (SCAN) data for a crystal of Be3Ni relaxed with PBEsol, as listed in the Alexandria database.

```
data_Be3Ni
_cell_length_a 3.6660
_cell_length_b 4.5697
_cell_length_c 4.5697
_cell_angle_alpha 120.00
_cell_angle_beta 90.00
_cell_angle_gamma 90.00
_space_group_name_H-M_alt 'P 1'
_space_group_IT_number 1
_space_group_name_Hall 'P 1'
loop_
_atom_site_label
_atom_site_type_symbol
_atom_site_fract_x
_atom_site_fract_y
_atom_site_fract_z
Ni1 Ni 0.7500 0.6667 0.3333
Ni2 Ni 0.2500 0.3333 0.6667
Be1 Be 0.7500 0.1664 0.8336
Be2 Be 0.7500 0.6672 0.8336
Be3 Be 0.7500 0.1664 0.3328
Be4 Be 0.2500 0.8336 0.1664
Be5 Be 0.2500 0.3328 0.1664
Be6 Be 0.2500 0.8336 0.6672
```

---

Record 2
First-principles (SCAN) data for a crystal of Be3Ni relaxed with PBEsol, as listed in the Alexandria database.

```
data_Be3Ni
_cell_length_a 3.2150
_cell_length_b 3.2150
_cell_length_c 3.2150
_cell_angle_alpha 90.00
_cell_angle_beta 90.00
_cell_angle_gamma 90.00
_space_group_name_H-M_alt 'P 1'
_space_group_IT_number 1
_space_group_name_Hall 'P 1'
loop_
_atom_site_label
_atom_site_type_symbol
_atom_site_fract_x
_atom_site_fract_y
_atom_site_fract_z
Ni1 Ni 0.0000 0.0000 0.0000
Be1 Be 0.0000 0.5000 0.5000
Be2 Be 0.5000 0.0000 0.5000
Be3 Be 0.5000 0.5000 0.0000
```

---

Record 3
First-principles (SCAN) data for a crystal of BeNi3 relaxed with PBEsol, as listed in the Alexandria database.

```
data_BeNi3
_cell_length_a 2.4694
_cell_length_b 4.0218
_cell_length_c 4.2114
_cell_angle_alpha 105.27
_cell_angle_beta 107.05
_cell_angle_gamma 90.00
_space_group_name_H-M_alt 'P 1'
_space_group_IT_number 1
_space_group_name_Hall 'P 1'
loop_
_atom_site_label
_atom_site_type_symbol
_atom_site_fract_x
_atom_site_fract_y
_atom_site_fract_z
Ni1 Ni 0.5000 0.5000 0.0000
Ni2 Ni 0.7370 0.2395 0.4741
Ni3 Ni 0.2630 0.7605 0.5259
Be1 Be 0.0000 0.0000 0.0000
```

---

no.,ΔE_f (kJ per mole of atoms),DFT total energy (eV per atom),size of the total moment (μB per cell)
1,-31.9,-7.639,0.047
2,-29.7,-7.616,0.000
3,-18.0,-13.405,1.243